Record 1
NaCd2Hg2: optimized geometry, PBE-GGA.

Cell lengths 6.0346, 6.0346, 5.5868 Å; angles 116.10, 116.10, 54.80 degrees
Last column: nearest neighbours and their distance in Å.
Fractional coordinates of all 5 atoms:
Na 0.0000 0.0000 0.0000  2 Cd 3.25, 6 Hg 3.58-3.61
Cd 0.3494 0.3494 0.3479  1 Cd 2.80, 4 Hg 2.93-2.94
Cd 0.6506 0.6506 0.6521  1 Cd 2.80, 4 Hg 2.93-2.94
Hg 0.2519 0.2519 0.7549  4 Cd 2.93-2.94
Hg 0.7481 0.7481 0.2451  4 Cd 2.93-2.94

Computed properties:
Its relative energy among the computed polymorphs is 0.063 eV per atom.

---

Record 2
Na3Cd4Hg4: optimized geometry, PBE-GGA.

Cell lengths 9.0352, 9.0352, 9.0352 Å; angles 149.82, 126.04, 63.08 degrees
Last column: nearest neighbours and their distance in Å.
Fractional coordinates of all 11 atoms:
Na 0.0000 0.0000 0.0000  6 Hg 3.40-3.51
Na 0.3769 0.8769 0.5000  6 Hg 3.37, 6 Cd 3.50-3.52
Na 0.6231 0.1231 0.5000  6 Hg 3.37, 6 Cd 3.50-3.52
Cd 0.0203 0.3252 0.6951  4 Hg 2.88-2.97, 1 Cd 3.20
Cd 0.3698 0.6748 0.6951  4 Hg 2.88-2.97, 1 Cd 3.20
Cd 0.6302 0.3252 0.3049  4 Hg 2.88-2.97, 1 Cd 3.20
Cd 0.9797 0.6748 0.3049  4 Hg 2.88-2.97, 1 Cd 3.20
Hg 0.2207 0.2207 0.0000  6 Cd 2.93-2.97
Hg 0.3184 0.5000 0.8184  2 Cd 2.88, 1 Hg 2.98
Hg 0.6816 0.5000 0.1816  2 Cd 2.88, 1 Hg 2.98
Hg 0.7793 0.7793 0.0000  6 Cd 2.93-2.97

---

For the records above, the corresponding formation energy from the elements values read -4.7 -12.9 kJ/mol of atoms.